## NaHf2BiI (PBE)

Data for crystalline NaHf2BiI at its relaxed geometry.

Cell lengths 5.266, 5.266, 6.173 Å; angles 90.00, 90.00, 90.00 degrees
Sites, in units of the cell vectors:
1 Na 0.000 0.000 0.000
2 Hf 0.000 0.500 0.500
3 Hf 0.500 0.000 0.500
4 Bi 0.500 0.500 0.000
5 I 0.500 0.500 0.500

Properties
Formation energy without anion corrections = 5.6 eV per formula unit
Electronic total energy = -4.2209 eV/atom
Symmetry = No. 123